A plane-wave DFT calculation with GGA-PBE was carried out for a geometry-optimized CrNiSe2 structure.

## Properties
Relative energy among the computed polymorphs (meV per atom): 201
Crystal system: orthorhombic

abc: 6.9074 6.9074 6.9074
angles: 152.21 151.57 40.18
Fractional positions:
Cr 0.5681 0.5681 0.0000
Ni 0.2290 0.7290 0.5000
Se 0.7208 0.2208 0.5000
Se 0.9821 0.9821 0.0000



A plane-wave DFT calculation with GGA-PBE was carried out for a geometry-optimized YTe2Pt structure.

## Properties
Relative energy among the computed polymorphs (meV per atom): 344
Crystal system: trigonal

abc: 6.8391 6.8391 6.8391
angles: 37.44 37.44 37.44
Fractional positions:
Te 0.4897 0.4897 0.4897
Te 0.0103 0.0103 0.0103
Pt 0.7500 0.7500 0.7500
Y 0.2500 0.2500 0.2500



A plane-wave DFT calculation with GGA-PBE was carried out for a geometry-optimized Sr5RhO8 structure.

## Properties
Crystal system: tetragonal
Uncorrected energy (eV per atom): -5.9025

abc: 6.6182 6.6182 6.6182
angles: 111.75 105.00 111.75
Fractional positions:
O 0.2481 0.2823 0.4578
O 0.7166 0.2085 0.3152
O 0.6848 0.4014 0.8933
O 0.4919 0.5986 0.2834
O 0.0342 0.2097 0.7519
O 0.1067 0.7915 0.5081
O 0.1755 0.7177 0.9658
O 0.5422 0.7903 0.8245
Sr 0.5000 0.0000 0.5000
Sr 0.3826 0.1434 0.9758
Sr 0.8324 0.8566 0.2392
Sr 0.7608 0.5932 0.6174
Sr 0.0242 0.4068 0.1676
Rh 0.2500 0.5000 0.7500



A plane-wave DFT calculation with GGA-PBE was carried out for a geometry-optimized AlSn2SbSe structure.

## Properties
Relative energy among the computed polymorphs (meV per atom): 229
Crystal system: tetragonal

abc: 5.5377 5.4078 5.5377
angles: 90.00 90.00 90.00
Fractional positions:
Sb 0.0000 0.5000 0.0000
Al 0.5000 0.5000 0.5000
Se 0.0000 0.0000 0.0000
Sn 0.0000 0.0000 0.5000
Sn 0.5000 0.0000 0.0000



A plane-wave DFT calculation with GGA-PBE was carried out for a geometry-optimized ErMgPd5 structure.

## Properties
Formation energy from the elements (eV per atom): -0.59
Crystal system: tetragonal

abc: 4.1172 4.1172 7.3731
angles: 90.00 90.00 90.00
Fractional positions:
Pd 0.5000 0.5000 0.5000
Pd 0.0000 0.5000 0.2260
Pd 0.0000 0.5000 0.7740
Pd 0.5000 0.0000 0.7740
Pd 0.5000 0.0000 0.2260
Mg 0.5000 0.5000 0.0000
Er 0.0000 0.0000 0.5000



A plane-wave DFT calculation with GGA-PBE was carried out for a geometry-optimized LiAgO2 structure.

## Properties
Crystal system: trigonal
Uncorrected energy (eV per atom): -4.2068

abc: 3.1508 3.1508 5.6089
angles: 73.69 73.69 60.00
Fractional positions:
O 0.2533 0.2533 0.2401
O 0.0854 0.0854 0.7437
Ag 0.6684 0.6684 0.9949
Li 0.4929 0.4929 0.5213



A plane-wave DFT calculation with GGA-PBE was carried out for a geometry-optimized AcGa2GePd structure.

## Properties
Formation energy from the elements (eV per atom): -0.68
Crystal system: orthorhombic

abc: 4.4594 4.4109 6.2164
angles: 110.78 111.02 90.00
Fractional positions:
Ge 0.8230 0.8230 0.6460
Ac 0.4417 0.4417 0.8834
Pd 0.1947 0.6947 0.3893
Ga 0.6878 0.1878 0.3757
Ga 0.0649 0.0649 0.1299



A plane-wave DFT calculation with GGA-PBE was carried out for a geometry-optimized SmMgHg6 structure.

## Properties
Formation energy from the elements (eV per atom): 0.07
Relative energy among the computed polymorphs (meV per atom): 287
Crystal system: trigonal

abc: 6.1973 6.1973 8.7273
angles: 69.20 69.20 60.00
Fractional positions:
Hg 0.0673 0.5537 0.3117
Hg 0.0673 0.0673 0.3117
Hg 0.5537 0.0673 0.3117
Hg 0.9327 0.9327 0.6883
Hg 0.4463 0.9327 0.6883
Hg 0.9327 0.4463 0.6883
Mg 0.5000 0.5000 0.5000
Sm 0.0000 0.0000 0.0000